First-principles (PBE) data for a relaxed structure of BaCd3Rh, as listed in Alexandria via LeMat-Bulk.

Calculated values
- density of states at the Fermi level (states/eV/f.u.) = 1.92
- crystal system = monoclinic
- energy relative to the lowest polymorph listed for this composition (eV per atom) = 0.1086

```
data_BaCd3Rh
_chemical_formula_sum 'Ba8 Cd24 Rh8'
_space_group_name_H-M_alt 'C 1 2/c 1'
_space_group_IT_number 15
_cell_length_a 13.361
_cell_length_b 10.170
_cell_length_c 8.354
_cell_angle_alpha 90.00
_cell_angle_beta 105.57
_cell_angle_gamma 90.00
loop_
_space_group_symop_operation_xyz
'x,y,z'
'-x,-y,-z'
'-x,y,-z+1/2'
'x,-y,z+1/2'
'x+1/2,y+1/2,z'
'-x+1/2,-y+1/2,-z'
'-x+1/2,y+1/2,-z+1/2'
'x+1/2,-y+1/2,z+1/2'
loop_
_atom_site_label
_atom_site_fract_x
_atom_site_fract_y
_atom_site_fract_z
Ba1 0.000 0.108 0.250
Ba2 0.000 0.292 0.750
Cd1 0.093 0.414 0.429
Cd2 0.208 0.167 0.633
Cd3 0.218 0.118 0.049
Rh1 0.118 0.352 0.108
```

First-principles (PBE) data for a relaxed structure of BaCd3Rh, as listed in Alexandria via LeMat-Bulk.

Calculated values
- density of states at the Fermi level (states/eV/f.u.) = 3.39
- crystal system = hexagonal
- energy relative to the lowest polymorph listed for this composition (eV per atom) = 0.2173

```
data_BaCd3Rh
_chemical_formula_sum 'Ba2 Cd6 Rh2'
_space_group_name_H-M_alt 'P 63/m m c'
_space_group_IT_number 194
_space_group_name_Hall '-P 6c 2c'
_cell_length_a 5.2303
_cell_length_b 5.2303
_cell_length_c 10.8112
_cell_angle_alpha 90.00
_cell_angle_beta 90.00
_cell_angle_gamma 120.00
loop_
_atom_site_label
_atom_site_fract_x
_atom_site_fract_y
_atom_site_fract_z
Ba1 0.3333 0.6667 0.2500
Cd1 0.0000 0.0000 0.2500
Cd2 0.3333 0.6667 0.5653
Rh1 0.0000 0.0000 0.0000
```

First-principles (PBE) data for a relaxed structure of BaCd2Rh, as listed in Alexandria via LeMat-Bulk.

Calculated values
- total DFT energy (no corrections) (eV/atom) = -2.8059
- density of states at the Fermi level (states/eV/f.u.) = 2.20
- crystal system = orthorhombic

```
data_BaCd2Rh
_chemical_formula_sum 'Ba2 Cd4 Rh2'
_space_group_name_H-M_alt 'I m m 2'
_space_group_IT_number 44
_cell_length_a 5.040
_cell_length_b 5.890
_cell_length_c 7.626
_cell_angle_alpha 90.00
_cell_angle_beta 90.00
_cell_angle_gamma 90.00
loop_
_space_group_symop_operation_xyz
'x,y,z'
'-x,-y,z'
'-x,y,z'
'x,-y,z'
'x+1/2,y+1/2,z+1/2'
'-x+1/2,-y+1/2,z+1/2'
'-x+1/2,y+1/2,z+1/2'
'x+1/2,-y+1/2,z+1/2'
loop_
_atom_site_label
_atom_site_fract_x
_atom_site_fract_y
_atom_site_fract_z
Ba1 0.000 0.000 0.000
Cd1 0.000 0.000 0.528
Cd2 0.000 0.500 0.799
Rh1 0.000 0.500 0.162
```

First-principles (PBE) data for a relaxed structure of Ba5Cd2Rh2, as listed in Alexandria via LeMat-Bulk.

Calculated values
- total DFT energy (no corrections) (eV/atom) = -3.0859
- density of states at the Fermi level (states/eV/f.u.) = 6.12
- crystal system = triclinic

```
data_Ba5Cd2Rh2
_chemical_formula_sum 'Ba10 Cd4 Rh4'
_space_group_name_H-M_alt 'P 1'
_space_group_IT_number 1
_cell_length_a 7.334
_cell_length_b 9.982
_cell_length_c 10.542
_cell_angle_alpha 106.90
_cell_angle_beta 110.34
_cell_angle_gamma 90.01
loop_
_space_group_symop_operation_xyz
'x,y,z'
loop_
_atom_site_label
_atom_site_fract_x
_atom_site_fract_y
_atom_site_fract_z
Ba1 0.000 0.000 0.000
Ba2 0.006 0.394 0.410
Ba3 0.110 0.885 0.617
Ba4 0.128 0.637 0.209
Ba5 0.433 0.642 0.818
Ba6 0.497 0.327 0.423
Ba7 0.513 0.280 0.026
Ba8 0.587 0.952 0.603
Ba9 0.616 0.945 0.211
Ba10 0.919 0.335 0.815
Cd1 0.144 0.033 0.358
Cd2 0.299 0.246 0.668
Cd3 0.647 0.634 0.344
Cd4 0.817 0.645 0.682
Rh1 0.128 0.319 0.125
Rh2 0.421 0.640 0.513
Rh3 0.517 0.961 0.901
Rh4 0.907 0.140 0.513
```

First-principles (PBE) data for a relaxed structure of Ba3Cd2Rh7, as listed in Alexandria via LeMat-Bulk.

Calculated values
- total DFT energy (no corrections) (eV/atom) = -5.0613
- density of states at the Fermi level (states/eV/f.u.) = 12.64
- crystal system = trigonal

```
data_Ba3Cd2Rh7
_chemical_formula_sum 'Ba9 Cd6 Rh21'
_space_group_name_H-M_alt 'R -3 m'
_space_group_IT_number 166
_space_group_name_Hall '-R 3 2"'
_cell_length_a 5.7089
_cell_length_b 5.7089
_cell_length_c 26.6542
_cell_angle_alpha 90.00
_cell_angle_beta 90.00
_cell_angle_gamma 120.00
loop_
_atom_site_label
_atom_site_fract_x
_atom_site_fract_y
_atom_site_fract_z
Ba1 0.0000 0.0000 0.0000
Ba2 0.0000 0.0000 0.1395
Cd1 0.0000 0.0000 0.3343
Rh1 0.0000 0.0000 0.5000
Rh2 0.0031 0.5015 0.9147
```

First-principles (PBE) data for a relaxed structure of BaCd3Rh, as listed in Alexandria via LeMat-Bulk.

Calculated values
- density of states at the Fermi level (states/eV/f.u.) = 3.61
- crystal system = orthorhombic
- energy relative to the lowest polymorph listed for this composition (eV per atom) = 0.0000

```
data_BaCd3Rh
_chemical_formula_sum 'Ba2 Cd6 Rh2'
_space_group_name_H-M_alt 'A m m 2'
_space_group_IT_number 38
_cell_length_a 5.047
_cell_length_b 7.745
_cell_length_c 7.200
_cell_angle_alpha 90.00
_cell_angle_beta 90.00
_cell_angle_gamma 90.00
loop_
_space_group_symop_operation_xyz
'x,y,z'
'-x,-y,z'
'-x,y,z'
'x,-y,z'
'x,y+1/2,z+1/2'
'-x,-y+1/2,z+1/2'
'-x,y+1/2,z+1/2'
'x,-y+1/2,z+1/2'
loop_
_atom_site_label
_atom_site_fract_x
_atom_site_fract_y
_atom_site_fract_z
Ba1 0.000 0.000 0.000
Cd1 0.000 0.000 0.516
Cd2 0.500 0.207 0.336
Rh1 0.500 0.000 0.639
```

First-principles (PBE) data for a relaxed structure of BaCd3Rh, as listed in Alexandria via LeMat-Bulk.

Calculated values
- density of states at the Fermi level (states/eV/f.u.) = 2.51
- crystal system = triclinic
- energy relative to the lowest polymorph listed for this composition (eV per atom) = 0.0170

```
data_BaCd3Rh
_chemical_formula_sum 'Ba2 Cd6 Rh2'
_space_group_name_H-M_alt 'P -1'
_space_group_IT_number 2
_cell_length_a 6.460
_cell_length_b 7.199
_cell_length_c 7.322
_cell_angle_alpha 118.69
_cell_angle_beta 90.33
_cell_angle_gamma 115.51
loop_
_space_group_symop_operation_xyz
'x,y,z'
'-x,-y,-z'
loop_
_atom_site_label
_atom_site_fract_x
_atom_site_fract_y
_atom_site_fract_z
Ba1 0.149 0.287 0.471
Cd1 0.105 0.731 0.981
Cd2 0.364 0.744 0.334
Cd3 0.369 0.269 0.014
Rh1 0.442 0.881 0.768
```

First-principles (PBE) data for a relaxed structure of Ba7Cd2Rh, as listed in Alexandria via LeMat-Bulk.

Calculated values
- total DFT energy (no corrections) (eV/atom) = -2.4086
- density of states at the Fermi level (states/eV/f.u.) = 10.61
- crystal system = monoclinic

```
data_Ba7Cd2Rh
_chemical_formula_sum 'Ba28 Cd8 Rh4'
_space_group_name_H-M_alt 'C 1 2/c 1'
_space_group_IT_number 15
_cell_length_a 16.996
_cell_length_b 11.876
_cell_length_c 10.235
_cell_angle_alpha 90.00
_cell_angle_beta 117.72
_cell_angle_gamma 90.00
loop_
_space_group_symop_operation_xyz
'x,y,z'
'-x,-y,-z'
'-x,y,-z+1/2'
'x,-y,z+1/2'
'x+1/2,y+1/2,z'
'-x+1/2,-y+1/2,-z'
'-x+1/2,y+1/2,-z+1/2'
'x+1/2,-y+1/2,z+1/2'
loop_
_atom_site_label
_atom_site_fract_x
_atom_site_fract_y
_atom_site_fract_z
Ba1 0.000 0.065 0.250
Ba2 0.063 0.366 0.098
Ba3 0.135 0.246 0.771
Ba4 0.219 0.429 0.504
Cd1 0.149 0.090 0.099
Rh1 0.000 0.442 0.750
```

density of states at the Fermi level of number 2 (BaCd3Rh)? 3.39 states/eV/f.u.

Look up the density of states at the Fermi level of the fourth one. 6.12 states/eV/f.u.

Which value of density of states at the Fermi level does entry 8 give? 10.61 states/eV/f.u.